# 1
CoAg2SnH at its PBEsol-relaxed geometry. Source: Alexandria, functional meta-GGA SCAN.

abc: 5.1470 5.1470 3.4113
angles: 90.00 90.00 90.00
Last column: nearest neighbours and their distance in Å.
Positions (direct):
Co: 0.0000 0.0000 0.0000  8 Ag 3.09, 2 Co 3.41
Ag: 0.0000 0.5000 0.5000  2 Sn 2.57
Ag: 0.5000 0.0000 0.5000  2 Sn 2.57
Sn: 0.5000 0.5000 0.5000  2 H 1.71
H: 0.5000 0.5000 0.0000  2 Sn 1.71

Summary:
The density of states at the Fermi level is 1.9 states/eV/f.u. The calculation puts the total DFT energy (no corrections) at -114.74 eV/f.u. As for the space group: No. 123.

=====

# 2
Hf2Co2Ag at its PBEsol-relaxed geometry. Source: Alexandria, functional meta-GGA SCAN.

abc: 7.0080 7.0080 3.1277
angles: 90.00 90.00 90.00
Last column: nearest neighbours and their distance in Å.
Positions (direct):
Hf: 0.1630 0.3370 0.0000  6 Co 2.56-2.61
Hf: 0.3370 0.8370 0.0000  6 Co 2.56-2.61
Hf: 0.6630 0.1630 0.0000  6 Co 2.56-2.61
Hf: 0.8370 0.6630 0.0000  6 Co 2.56-2.61
Co: 0.1329 0.6329 0.5000  6 Hf 2.56-2.61, 1 Co 2.63, 2 Ag 2.74
Co: 0.3671 0.1329 0.5000  6 Hf 2.56-2.61, 1 Co 2.63, 2 Ag 2.74
Co: 0.6329 0.8671 0.5000  6 Hf 2.56-2.61, 1 Co 2.63, 2 Ag 2.74
Co: 0.8671 0.3671 0.5000  6 Hf 2.56-2.61, 1 Co 2.63, 2 Ag 2.74
Ag: 0.0000 0.0000 0.5000  4 Co 2.74, 8 Hf 3.05
Ag: 0.5000 0.5000 0.5000  4 Co 2.74, 8 Hf 3.05

Summary:
The density of states at the Fermi level is 4.3 states/eV/f.u. The calculation puts the total DFT energy (no corrections) at -192.38 eV/f.u. Its energy of formation is -212 meV/atom. As for the space group: No. 127.

=====

# 3
HfTa2CoAg at its PBEsol-relaxed geometry. Source: Alexandria, functional meta-GGA SCAN.

abc: 4.7966 4.7966 4.9337
angles: 90.00 90.00 90.00
Last column: nearest neighbours and their distance in Å.
Positions (direct):
Hf: 0.0000 0.0000 0.0000  4 Ta 2.40, 2 Ag 2.47
Ta: 0.0000 0.5000 0.0000  2 Hf 2.40
Ta: 0.5000 0.0000 0.0000  2 Hf 2.40
Co: 0.5000 0.5000 0.5000  4 Ag 3.39, 8 Ta 3.44
Ag: 0.0000 0.0000 0.5000  2 Hf 2.47

Summary:
The density of states at the Fermi level is 4.0 states/eV/f.u. The calculation puts the total DFT energy (no corrections) at -234.42 eV/f.u. Its energy of formation is 2018 meV/atom. As for the space group: No. 123.

=====

# 4
Co3AgHg at its PBEsol-relaxed geometry. Source: Alexandria, functional meta-GGA SCAN.

abc: 4.5535 4.5535 4.5535
angles: 90.00 90.00 90.00
Last column: nearest neighbours and their distance in Å.
Positions (direct):
Co: 0.0000 0.0000 0.5000  2 Ag 2.28
Co: 0.0000 0.5000 0.0000  2 Ag 2.28
Co: 0.5000 0.0000 0.0000  2 Ag 2.28
Ag: 0.0000 0.0000 0.0000  6 Co 2.28
Hg: 0.5000 0.5000 0.5000  12 Co 3.22

Summary:
The density of states at the Fermi level is 2.7 states/eV/f.u. The calculation puts the total DFT energy (no corrections) at -143.97 eV/f.u. Its energy of formation is 1496 meV/atom. As for the space group: No. 221.

=====

# 5
Co4AgHg at its PBEsol-relaxed geometry. Source: Alexandria, functional meta-GGA SCAN.

abc: 4.8055 4.8055 4.8055
angles: 60.00 60.00 60.00
Last column: nearest neighbours and their distance in Å.
Positions (direct):
Co: 0.1247 0.1247 0.1247  6 Co 2.40-2.41
Co: 0.1247 0.1247 0.6258  6 Co 2.40-2.41
Co: 0.1247 0.6258 0.1247  6 Co 2.40-2.41
Co: 0.6258 0.1247 0.1247  6 Co 2.40-2.41
Ag: 0.7500 0.7500 0.7500  12 Co 2.82, 4 Hg 2.94
Hg: 0.5000 0.5000 0.5000  12 Co 2.82, 4 Ag 2.94

Summary:
The density of states at the Fermi level is 5.0 states/eV/f.u. The calculation puts the total DFT energy (no corrections) at -166.66 eV/f.u. Its energy of formation is 349 meV/atom. As for the space group: No. 216.

=====

# 6
CoAgHg at its PBEsol-relaxed geometry. Source: Alexandria, functional meta-GGA SCAN.

abc: 4.4521 4.4521 2.7697
angles: 90.00 90.00 120.00
Last column: nearest neighbours and their distance in Å.
Positions (direct):
Co: 0.0000 0.0000 0.0000  3 Hg 2.69, 3 Ag 2.72, 2 Co 2.77
Ag: 0.6667 0.3333 0.6804  3 Co 2.72, 2 Ag 2.77, 3 Hg 2.80
Hg: 0.3333 0.6667 0.2817  3 Co 2.69, 2 Hg 2.77, 3 Ag 2.80

Summary:
The density of states at the Fermi level is 1.1 states/eV/f.u. The calculation puts the total DFT energy (no corrections) at -115.88 eV/f.u. Its energy of formation is 319 meV/atom. As for the space group: No. 156.

=====

# 7
MnCo2AgHg at its PBEsol-relaxed geometry. Source: Alexandria, functional meta-GGA SCAN.

abc: 4.6770 4.6770 4.8584
angles: 90.00 90.00 90.00
Last column: nearest neighbours and their distance in Å.
Positions (direct):
Mn: 0.0000 0.0000 0.0000  2 Hg 2.43
Co: 0.0000 0.5000 0.5000  2 Hg 2.34
Co: 0.5000 0.0000 0.5000  2 Hg 2.34
Ag: 0.5000 0.5000 0.0000  4 Mn 3.31, 8 Co 3.37
Hg: 0.0000 0.0000 0.5000  4 Co 2.34, 2 Mn 2.43

Summary:
The density of states at the Fermi level is 2.3 states/eV/f.u. The calculation puts the total DFT energy (no corrections) at -146.06 eV/f.u. Its energy of formation is 1267 meV/atom. As for the space group: No. 123.

=====

# 8
Co2AgI at its PBEsol-relaxed geometry. Source: Alexandria, functional meta-GGA SCAN.

abc: 5.6038 5.6038 5.6038
angles: 103.89 103.89 121.33
Last column: nearest neighbours and their distance in Å.
Positions (direct):
Co: 0.1061 0.6250 0.9811  2 I 2.45, 2 Ag 2.63
Co: 0.3750 0.3561 0.4811  2 I 2.45, 2 Ag 2.63
Co: 0.6439 0.1250 0.0189  2 I 2.45, 2 Ag 2.63
Co: 0.8750 0.8939 0.5189  2 I 2.45, 2 Ag 2.63
Ag: 0.2500 0.7500 0.5000  4 Co 2.63, 2 I 2.75
Ag: 0.5000 0.5000 0.0000  4 Co 2.63, 2 I 2.75
I: 0.0000 0.0000 0.0000  4 Co 2.45
I: 0.7500 0.2500 0.5000  4 Co 2.45

Summary:
The density of states at the Fermi level is 2.3 states/eV/f.u. The calculation puts the total DFT energy (no corrections) at -98.92 eV/f.u. As for the space group: No. 122.

=====

# 9
Co3AgI at its PBEsol-relaxed geometry. Source: Alexandria, functional meta-GGA SCAN.

abc: 4.6263 4.6263 4.6263
angles: 90.00 90.00 90.00
Last column: nearest neighbours and their distance in Å.
Positions (direct):
Co: 0.0000 0.0000 0.5000  2 Ag 2.31
Co: 0.0000 0.5000 0.0000  2 Ag 2.31
Co: 0.5000 0.0000 0.0000  2 Ag 2.31
Ag: 0.0000 0.0000 0.0000  6 Co 2.31
I: 0.5000 0.5000 0.5000  12 Co 3.27

Summary:
The density of states at the Fermi level is 7.4 states/eV/f.u. The calculation puts the total DFT energy (no corrections) at -112.03 eV/f.u. As for the space group: No. 221.

=====

# 10
Sc2CoAgI at its PBEsol-relaxed geometry. Source: Alexandria, functional meta-GGA SCAN.

abc: 5.1873 5.1873 4.9836
angles: 90.00 90.00 90.00
Last column: nearest neighbours and their distance in Å.
Positions (direct):
Sc: 0.0000 0.5000 0.0000  2 I 2.59
Sc: 0.5000 0.0000 0.0000  2 I 2.59
Co: 0.0000 0.0000 0.5000  8 Sc 3.60, 4 Ag 3.67
Ag: 0.5000 0.5000 0.5000  2 I 2.49
I: 0.5000 0.5000 0.0000  2 Ag 2.49, 4 Sc 2.59

Summary:
The density of states at the Fermi level is 3.4 states/eV/f.u. The calculation puts the total DFT energy (no corrections) at -109.15 eV/f.u. As for the space group: No. 123.

=====

# 11
CoAgTeI2 at its PBEsol-relaxed geometry. Source: Alexandria, functional meta-GGA SCAN.

abc: 5.4480 5.4480 5.4266
angles: 90.00 90.00 90.00
Last column: nearest neighbours and their distance in Å.
Positions (direct):
Co: 0.0000 0.0000 0.0000  8 I 3.84, 4 Te 3.85
Ag: 0.5000 0.5000 0.5000  2 Te 2.71, 4 I 2.72
Te: 0.5000 0.5000 0.0000  2 Ag 2.71
I: 0.0000 0.5000 0.5000  2 Ag 2.72
I: 0.5000 0.0000 0.5000  2 Ag 2.72

Summary:
The density of states at the Fermi level is 4.2 states/eV/f.u. The calculation puts the total DFT energy (no corrections) at -155.04 eV/f.u. As for the space group: No. 123.

=====

# 12
In2CoAg at its PBEsol-relaxed geometry. Source: Alexandria, functional meta-GGA SCAN.

abc: 3.2576 4.5477 4.5487
angles: 90.00 90.00 90.00
Last column: nearest neighbours and their distance in Å.
Positions (direct):
In: 0.0000 0.0000 0.0000  4 Ag 2.79-2.80, 4 Co 2.80
In: 0.0000 0.5000 0.4963  4 Co 2.79-2.80, 4 Ag 2.80
Co: 0.5000 0.5000 0.9955  8 In 2.79-2.80
Ag: 0.5000 0.0000 0.5011  8 In 2.79-2.80

Summary:
The density of states at the Fermi level is 1.9 states/eV/f.u. As for the energy above the lowest structure with this stoichiometry: 0 meV/atom. The calculation puts the total DFT energy (no corrections) at -114.53 eV/f.u. Its energy of formation is 229 meV/atom. As for the space group: No. 25.

=====

# 13
InCo2Ag at its PBEsol-relaxed geometry. Source: Alexandria, functional meta-GGA SCAN.

abc: 4.6637 4.6637 4.6637
angles: 130.93 130.93 71.92
Last column: nearest neighbours and their distance in Å.
Positions (direct):
In: 0.0000 0.0000 0.0000  8 Co 2.70-2.74, 4 Ag 2.70
Co: 0.2500 0.7500 0.5000  4 In 2.70, 4 Co 2.70, 4 Ag 2.74
Co: 0.5000 0.5000 0.0000  4 Co 2.70, 4 Ag 2.70, 4 In 2.74
Ag: 0.7500 0.2500 0.5000  4 In 2.70, 8 Co 2.70-2.74

Summary:
The density of states at the Fermi level is 3.1 states/eV/f.u. The calculation puts the total DFT energy (no corrections) at -97.99 eV/f.u. Its energy of formation is 343 meV/atom. As for the space group: No. 119.

=====

# 14
In4CoAg at its PBEsol-relaxed geometry. Source: Alexandria, functional meta-GGA SCAN.

abc: 5.7169 5.7169 5.7169
angles: 60.00 60.00 60.00
Last column: nearest neighbours and their distance in Å.
Positions (direct):
In: 0.1249 0.1249 0.1249  6 In 2.86
In: 0.1249 0.1249 0.6254  6 In 2.86
In: 0.1249 0.6254 0.1249  6 In 2.86
In: 0.6254 0.1249 0.1249  6 In 2.86
Co: 0.7500 0.7500 0.7500  12 In 3.35, 4 Ag 3.50
Ag: 0.5000 0.5000 0.5000  12 In 3.35, 4 Co 3.50

Summary:
The density of states at the Fermi level is 2.6 states/eV/f.u. The calculation puts the total DFT energy (no corrections) at -178.49 eV/f.u. Its energy of formation is 621 meV/atom. As for the space group: No. 216.

=====

# 15
InCo3Ag at its PBEsol-relaxed geometry. Source: Alexandria, functional meta-GGA SCAN.

abc: 4.5437 4.5437 4.5437
angles: 90.00 90.00 90.00
Last column: nearest neighbours and their distance in Å.
Positions (direct):
In: 0.0000 0.0000 0.0000  12 Co 3.21
Co: 0.0000 0.5000 0.5000  2 Ag 2.27
Co: 0.5000 0.0000 0.5000  2 Ag 2.27
Co: 0.5000 0.5000 0.0000  2 Ag 2.27
Ag: 0.5000 0.5000 0.5000  6 Co 2.27

Summary:
The density of states at the Fermi level is 5.9 states/eV/f.u. The calculation puts the total DFT energy (no corrections) at -109.34 eV/f.u. Its energy of formation is 1465 meV/atom. As for the space group: No. 221.